A relaxed RbCoHF6 crystal. Source: the Alexandria database, functional PBE+U.

As for the calculated density: 3.321 Mg/m³. The calculation puts the spin magnetization at 0.11 μB/atom. For the total energy, the calculation gives -0.309 Ry per atom.

The space group is P1 (No. 1) and the conventional cell measures 4.732, 5.538 and 5.594 Å, with angles of 76.44, 66.37 and 78.78 degrees. The asymmetric unit holds Rb at (0.000, 0.000, 0.000), Co at (0.492, 0.520, 0.515), H at (0.118, 0.360, 0.363), F at (0.109, 0.598, 0.725), F at (0.331, 0.278, 0.417), F at (0.449, 0.728, 0.232), F at (0.558, 0.279, 0.766), F at (0.623, 0.755, 0.595) and F at (0.913, 0.422, 0.289).